Below is La3PbS6 after structural relaxation, with properties calculated at the PBE level.

Summary:
Uncorrected formation energy, eV per atom: -1.67
Crystal system: trigonal
D(E_F), states/eV/f.u.: 0.5
Spin magnetization, μB/f.u.: 0.00

abc: 8.4345 8.4345 8.4345
angles: 91.57 91.57 91.57
Element x y z (fractional)
La  0.0626  0.7466  0.5727
La  0.2534  0.4273  0.9374
La  0.4273  0.9374  0.2534
La  0.5727  0.0626  0.7466
La  0.7466  0.5727  0.0626
La  0.9374  0.2534  0.4273
Pb  0.0000  0.0000  0.0000
Pb  0.5000  0.5000  0.5000
S  0.0342  0.6918  0.9102
S  0.0898  0.9658  0.3082
S  0.1753  0.4280  0.6052
S  0.3082  0.0898  0.9658
S  0.3948  0.8247  0.5720
S  0.4280  0.6052  0.1753
S  0.5720  0.3948  0.8247
S  0.6052  0.1753  0.4280
S  0.6918  0.9102  0.0342
S  0.8247  0.5720  0.3948
S  0.9102  0.0342  0.6918
S  0.9658  0.3082  0.0898